# LuHfMn | Alexandria via LeMat-Bulk | PBE | optimized geometry
data_LuHfMn
_symmetry_space_group_name_H-M 'P 1'
_symmetry_Int_Tables_number 1
_symmetry_space_group_name_Hall 'P 1'
_cell_length_a 3.2403
_cell_length_b 3.2403
_cell_length_c 6.2336
_cell_angle_alpha 105.06
_cell_angle_beta 105.06
_cell_angle_gamma 90.00
loop_
_atom_site_label
_atom_site_type_symbol
_atom_site_fract_x
_atom_site_fract_y
_atom_site_fract_z
_atom_site_occupancy
Lu1 Lu 0.0282 0.0282 0.0564 1
Hf1 Hf 0.2925 0.2925 0.5851 1
Mn1 Mn 0.6792 0.6792 0.3585 1
# E_form: 45 meV/atom
# D(E_F): 1.9 states/eV per cell
# crystal system: tetragonal

***

# LuHfMn2 | Alexandria via LeMat-Bulk | PBE | optimized geometry
data_LuHfMn2
_symmetry_space_group_name_H-M 'P 1'
_symmetry_Int_Tables_number 1
_symmetry_space_group_name_Hall 'P 1'
_cell_length_a 3.3260
_cell_length_b 3.3260
_cell_length_c 6.5822
_cell_angle_alpha 90.00
_cell_angle_beta 90.00
_cell_angle_gamma 90.00
loop_
_atom_site_label
_atom_site_type_symbol
_atom_site_fract_x
_atom_site_fract_y
_atom_site_fract_z
_atom_site_occupancy
Lu1 Lu 0.5000 0.5000 0.5000 1
Mn1 Mn 0.0000 0.0000 0.2133 1
Mn2 Mn 0.0000 0.0000 0.7867 1
Hf1 Hf 0.5000 0.5000 0.0000 1
# E_form: 36 meV/atom
# D(E_F): 4.9 states/eV per cell
# crystal system: tetragonal

***

# LuHfMnNi | Alexandria via LeMat-Bulk | PBE | optimized geometry
data_LuHfMnNi
_symmetry_space_group_name_H-M 'P 1'
_symmetry_Int_Tables_number 1
_symmetry_space_group_name_Hall 'P 1'
_cell_length_a 4.5484
_cell_length_b 4.5484
_cell_length_c 4.5484
_cell_angle_alpha 60.00
_cell_angle_beta 60.00
_cell_angle_gamma 60.00
loop_
_atom_site_label
_atom_site_type_symbol
_atom_site_fract_x
_atom_site_fract_y
_atom_site_fract_z
_atom_site_occupancy
Lu1 Lu 0.0000 0.0000 0.0000 1
Ni1 Ni 0.2500 0.2500 0.2500 1
Hf1 Hf 0.5000 0.5000 0.5000 1
Mn1 Mn 0.7500 0.7500 0.7500 1
# E_form: -146 meV/atom
# D(E_F): 3.0 states/eV per cell
# crystal system: cubic